Entry 1:
First-principles (PBE-GGA) data for a relaxed Tb6PrSm3Dy2 crystal, as listed in the Alexandria database.

Crystal system: monoclinic
Magnetization in μB per formula unit: 0.00
Formation energy in meV/atom: 14
E_tot in eV per atom: -4.65
Calculated volume in Å³ per atom: 32.60

Unit cell a=6.2148 b=10.7569 c=11.8833 alpha=90.00 beta=100.00 gamma=90.00
Closest atoms and distances in Å follow each position.
Space group C2/m (No. 12)
Asymmetric unit:
Tb (0.2490, 0.0000, 0.2494) x4  2 Dy 3.58, 1 Pr 3.58, 6 Tb 3.58-3.60, 3 Sm 3.59
Tb (0.2497, 0.1671, 0.7505) x8  2 Dy 3.58, 6 Tb 3.58-3.60, 1 Pr 3.58, 3 Sm 3.59
Pr (0.0000, 0.5000, 0.0000) x2  6 Tb 3.58, 6 Dy 3.58-3.59
Sm (0.0000, 0.0000, 0.5000) x2  6 Sm 3.58-3.59, 6 Tb 3.59
Sm (0.0000, 0.3331, 0.5000) x4  6 Sm 3.58-3.59, 6 Tb 3.59
Dy (0.0000, 0.1667, 0.0000) x4  6 Tb 3.58, 3 Pr 3.58-3.59, 3 Dy 3.59

***

Entry 2:
First-principles (PBE-GGA) data for a relaxed TaTc2Ru crystal, as listed in the Alexandria database.

Crystal system: orthorhombic
Magnetization in μB per formula unit: 0.00
Formation energy in meV/atom: 32
E_tot in eV per atom: -10.43
Energy above the lowest structure with this stoichiometry in meV per atom: 87
Calculated volume in Å³ per atom: 15.42

Unit cell a=2.8021 b=3.8794 c=5.6746 alpha=90.00 beta=90.00 gamma=90.00
Closest atoms and distances in Å follow each position.
Space group Pmmm (No. 47)
Asymmetric unit:
Ta (0.0000, 0.0000, 0.0000) x1  2 Ta 2.80, 2 Ru 2.84, 8 Tc 2.85
Tc (0.5000, 0.5000, 0.2714) x2  3 Tc 2.59-2.80, 4 Ru 2.72, 4 Ta 2.85
Ru (0.0000, 0.0000, 0.5000) x1  8 Tc 2.72, 2 Ru 2.80, 2 Ta 2.84

***

Entry 3:
First-principles (PBE-GGA) data for a relaxed LiTlCuBi crystal, as listed in the Alexandria database.

Crystal system: cubic
Magnetization in μB per formula unit: 0.00
Formation energy in meV/atom: -27
E_tot in eV per atom: -3.09
Calculated volume in Å³ per atom: 21.62

Unit cell a=7.0193 b=7.0193 c=7.0193 alpha=90.00 beta=90.00 gamma=90.00
Closest atoms and distances in Å follow each position.
Space group F-43m (No. 216)
Asymmetric unit:
Li (0.0000, 0.0000, 0.0000) x4  4 Tl 3.04, 4 Bi 3.04
Tl (0.2500, 0.2500, 0.2500) x4  4 Li 3.04, 4 Cu 3.04
Cu (0.0000, 0.0000, 0.5000) x4  4 Tl 3.04, 4 Bi 3.04
Bi (0.2500, 0.2500, 0.7500) x4  4 Li 3.04, 4 Cu 3.04

***

Entry 4:
First-principles (PBE-GGA) data for a relaxed SrLiPd3Pb crystal, as listed in the Alexandria database.

Crystal system: orthorhombic
Magnetization in μB per formula unit: 0.00
Formation energy in meV/atom: -382
E_tot in eV per atom: -4.20
Calculated volume in Å³ per atom: 21.18

Unit cell a=5.9989 b=12.5344 c=6.7600 alpha=90.00 beta=90.00 gamma=90.00
Closest atoms and distances in Å follow each position.
Space group Cmcm (No. 63)
Asymmetric unit:
Sr (0.0000, 0.1831, 0.2500) x4  1 Li 3.03, 6 Pd 3.04-3.21
Li (0.0000, 0.4246, 0.2500) x4  5 Pd 2.47-2.72
Pd (0.0000, 0.3584, 0.7500) x4  1 Li 2.72, 1 Pb 2.78, 4 Pd 2.89, 2 Sr 3.04
Pd (0.2454, 0.0000, 0.0000) x8  2 Li 2.47
Pb (0.0000, 0.1367, 0.7500) x4  5 Pd 2.78-2.82, 2 Li 3.10